PBE with a Hubbard U VCl3F, relaxed; M_tot = 3.97 μB per formula unit; crystal system = cubic; relative energy among the computed polymorphs = 1709 meV per atom; calculated total energy = -2.625 eV/atom
1.0
4.6746 0.0000 0.0000
0.0000 4.6746 0.0000
0.0000 0.0000 4.6746
V Cl F
1 3 1
direct
0.0000 0.0000 0.0000
0.0000 0.5000 0.5000
0.5000 0.0000 0.5000
0.5000 0.5000 0.0000
0.5000 0.5000 0.5000